# NdHoBr3N, relaxed, DFT PBE-GGA
# - space-group type = C2/m, No. 12
# - volume (Å³/cell) = 351.8
# - polymorph energy (0 for the lowest one) (meV/atom) = 0
data_NdHoBr3N
_space_group_name_H-M_alt 'P 1'
_space_group_IT_number 1
_space_group_name_Hall 'P 1'
_cell_length_a 9.3312
_cell_length_b 9.3312
_cell_length_c 11.6890
_cell_angle_alpha 122.89
_cell_angle_beta 122.89
_cell_angle_gamma 24.57
loop_
_atom_site_label
_atom_site_type_symbol
_atom_site_fract_x
_atom_site_fract_y
_atom_site_fract_z
_atom_site_occupancy
N1 N 0.5720 0.5720 0.6485 1
N2 N 0.4280 0.4280 0.3515 1
Nd1 Nd 0.8639 0.8639 0.2153 1
Nd2 Nd 0.1361 0.1361 0.7847 1
Br1 Br 0.0433 0.0433 0.2561 1
Br2 Br 0.9567 0.9567 0.7439 1
Br3 Br 0.2130 0.2130 0.6114 1
Br4 Br 0.6649 0.6649 0.0113 1
Br5 Br 0.3352 0.3352 0.9887 1
Br6 Br 0.7870 0.7870 0.3886 1
Ho1 Ho 0.4258 0.4258 0.5402 1
Ho2 Ho 0.5742 0.5742 0.4598 1